# 1
Zr2ScSnO: optimized geometry, PBE.

abc: 4.599 4.599 4.309
angles: 90.00 90.00 90.00
Positions (direct):
Zr 0.000 0.500 0.000
Zr 0.500 0.000 0.000
Sc 0.000 0.000 0.500
Sn 0.500 0.500 0.500
O 0.000 0.000 0.000

As for the space-group type: P4/mmm. For the offset from the most stable computed form, the calculation gives 0.000 eV/atom. The raw formation energy is -1272 meV per atom.

# 2
SrScO2: optimized geometry, PBE.

abc: 6.290 6.290 6.290
angles: 30.38 30.38 30.38
Positions (direct):
Sr 0.000 0.000 0.000
Sc 0.827 0.827 0.827
O 0.227 0.227 0.227
O 0.431 0.431 0.431

As for the space-group type: R3m. For the offset from the most stable computed form, the calculation gives 0.007 eV/atom. The raw formation energy is -2647 meV per atom.

# 3
Sr3Sc2O6: optimized geometry, PBE.

abc: 10.527 10.527 10.527
angles: 157.58 157.58 31.92
Positions (direct):
Sr 0.000 0.000 0.000
Sr 0.181 0.181 0.000
Sr 0.819 0.819 0.000
Sc 0.398 0.398 0.000
Sc 0.602 0.602 0.000
O 0.083 0.583 0.500
O 0.301 0.301 0.000
O 0.417 0.917 0.500
O 0.583 0.083 0.500
O 0.699 0.699 0.000
O 0.917 0.417 0.500

As for the space-group type: I4/mmm. The raw formation energy is -3097 meV per atom.

# 4
Sr3ScO: optimized geometry, PBE.

abc: 6.228 6.228 6.228
angles: 90.00 90.00 90.00
Positions (direct):
Sr 0.000 0.000 0.500
Sr 0.000 0.500 0.000
Sr 0.500 0.000 0.000
Sc 0.000 0.000 0.000
O 0.500 0.500 0.500

As for the space-group type: Pm-3m. For the offset from the most stable computed form, the calculation gives 1.677 eV/atom. The raw formation energy is 902 meV per atom.